1.
Compound: MnFe2IrN
Source: Alexandria
Functional: PBE
Structure: optimized geometry Values from VASP.

Computed properties:
energy relative to the elements, uncorrected: -0.050 eV/atom
space group: P4/mmm
calculated volume: 57 Å³/f.u.

```
&SYSTEM
  ibrav = 0, nat = 5, ntyp = 4
/
ATOMIC_SPECIES
Mn 54.94 Mn.upf
Fe 55.84 Fe.upf
Ir 192.22 Ir.upf
N 14.01 N.upf
CELL_PARAMETERS angstrom
3.830 0.000 0.000
0.000 3.830 0.000
0.000 0.000 3.905
ATOMIC_POSITIONS angstrom
Mn 0.000 0.000 0.000
Fe 0.000 1.915 1.952
Fe 1.915 0.000 1.952
Ir 1.915 1.915 0.000
N 0.000 0.000 1.952
```

2.
Compound: MnNbFeIr
Source: Alexandria
Functional: PBE
Structure: optimized geometry Values from VASP.

Computed properties:
energy of formation from the pure elements: -0.20 eV/atom
space group: F-43m
calculated volume: 58 Å³/f.u.

```
&SYSTEM
  ibrav = 0, nat = 4, ntyp = 4
/
ATOMIC_SPECIES
Mn 54.94 Mn.upf
Nb 92.91 Nb.upf
Fe 55.84 Fe.upf
Ir 192.22 Ir.upf
CELL_PARAMETERS angstrom
0.000 3.068 3.068
3.068 0.000 3.068
3.068 3.068 0.000
ATOMIC_POSITIONS angstrom
Mn 0.000 0.000 0.000
Nb 3.068 3.068 3.068
Fe 4.601 4.601 4.601
Ir 1.534 1.534 1.534
```

3.
Compound: MnFeNiIr
Source: Alexandria
Functional: PBE
Structure: optimized geometry Values from VASP.

Computed properties:
energy of formation from the pure elements: 0.02 eV/atom
space group: F-43m
calculated volume: 53 Å³/f.u.

```
&SYSTEM
  ibrav = 0, nat = 4, ntyp = 4
/
ATOMIC_SPECIES
Mn 54.94 Mn.upf
Fe 55.84 Fe.upf
Ni 58.69 Ni.upf
Ir 192.22 Ir.upf
CELL_PARAMETERS angstrom
0.000 2.976 2.976
2.976 0.000 2.976
2.976 2.976 0.000
ATOMIC_POSITIONS angstrom
Mn 0.000 0.000 0.000
Fe 2.976 2.976 2.976
Ni 4.464 4.464 4.464
Ir 1.488 1.488 1.488
```

4.
Compound: NpMnFeIr
Source: Alexandria
Functional: PBE
Structure: optimized geometry Values from VASP.

Computed properties:
energy of formation from the pure elements: 0.01 eV/atom
space group: F-43m
calculated volume: 64 Å³/f.u.

```
&SYSTEM
  ibrav = 0, nat = 4, ntyp = 4
/
ATOMIC_SPECIES
Np 237.00 Np.upf
Mn 54.94 Mn.upf
Fe 55.84 Fe.upf
Ir 192.22 Ir.upf
CELL_PARAMETERS angstrom
0.000 3.178 3.178
3.178 0.000 3.178
3.178 3.178 0.000
ATOMIC_POSITIONS angstrom
Np 0.000 0.000 0.000
Mn 3.178 3.178 3.178
Fe 1.589 1.589 1.589
Ir 4.768 4.768 4.768
```

5.
Compound: PaMnFeIr
Source: Alexandria
Functional: PBE
Structure: optimized geometry Values from VASP.

Computed properties:
energy of formation from the pure elements: -0.13 eV/atom
space group: F-43m
calculated volume: 68 Å³/f.u.

```
&SYSTEM
  ibrav = 0, nat = 4, ntyp = 4
/
ATOMIC_SPECIES
Pa 231.04 Pa.upf
Mn 54.94 Mn.upf
Fe 55.84 Fe.upf
Ir 192.22 Ir.upf
CELL_PARAMETERS angstrom
0.000 3.240 3.240
3.240 0.000 3.240
3.240 3.240 0.000
ATOMIC_POSITIONS angstrom
Pa 0.000 0.000 0.000
Mn 3.240 3.240 3.240
Fe 4.860 4.860 4.860
Ir 1.620 1.620 1.620
```

6.
Compound: MnFeReIr
Source: Alexandria
Functional: PBE
Structure: optimized geometry Values from VASP.

Computed properties:
energy of formation from the pure elements: 0.03 eV/atom
space group: F-43m
calculated volume: 54 Å³/f.u.

```
&SYSTEM
  ibrav = 0, nat = 4, ntyp = 4
/
ATOMIC_SPECIES
Mn 54.94 Mn.upf
Fe 55.84 Fe.upf
Re 186.21 Re.upf
Ir 192.22 Ir.upf
CELL_PARAMETERS angstrom
0.000 3.002 3.002
3.002 0.000 3.002
3.002 3.002 0.000
ATOMIC_POSITIONS angstrom
Mn 0.000 0.000 0.000
Fe 3.002 3.002 3.002
Re 1.501 1.501 1.501
Ir 4.502 4.502 4.502
```